# 1
Entry from the Alexandria database: a geometry-optimized MgVAs2O8 structure (PBE+U).

Cell and atoms, written as POSCAR:
```
MgVAs2O8
1.0
-3.321 3.321 3.042
3.321 -3.321 3.042
3.321 3.321 -3.042
Mg V As O
1 1 2 8
Cartesian
0.000 0.000 0.000 Mg
3.321 0.000 1.521 V
0.000 0.000 3.042 As
0.000 3.321 1.521 As
2.039 3.321 -1.139 O
1.282 0.000 1.903 O
0.000 2.103 0.303 O
3.321 2.039 1.139 O
0.000 4.538 0.303 O
0.000 1.282 4.181 O
-1.218 3.321 2.739 O
1.218 3.321 2.739 O
```

Computed properties:
- space group = No. 119
- spin magnetization (μB/atom) = 0.083
- crystal system = tetragonal
- DFT total energy (Ry per atom) = -0.4678

# 2
Entry from the Alexandria database: a geometry-optimized MgVAsO6 structure (PBE+U).

Cell and atoms, written as POSCAR:
```
MgVAsO6
1.0
4.911 0.000 0.000
-2.455 4.253 0.000
0.000 0.000 9.140
Mg V As O
2 2 2 12
Cartesian
0.000 0.000 0.000 Mg
0.000 0.000 4.570 Mg
0.000 2.835 2.285 V
2.455 1.418 6.855 V
0.000 2.835 6.855 As
2.455 1.418 2.285 As
-0.863 1.553 5.826 O
-1.542 2.729 7.883 O
0.863 1.553 7.883 O
-0.679 4.224 5.826 O
1.776 0.029 1.256 O
0.913 1.524 3.313 O
1.542 2.729 5.826 O
0.679 4.224 7.883 O
3.134 0.029 3.313 O
1.592 2.700 1.256 O
3.998 1.524 1.256 O
3.319 2.700 3.313 O
```

Computed properties:
- space group = No. 163
- spin magnetization (μB/atom) = 0.000
- crystal system = trigonal
- DFT total energy (Ry per atom) = -0.4854

- The highest DFT total energy belongs to which entry?
  MgVAs2O8

- Among the records above, which one has the highest DFT total energy?
  MgVAs2O8

- Which of these has the highest spin magnetization?
  MgVAs2O8

- Look up the DFT total energy of the first one.
  -0.4678 Ry per atom